(1)
Entry from Alexandria: an optimized crystal structure of PmCuSn (GGA-PBE).

Geometry as POSCAR:
```
PmCuSn
1.0
6.6010 0.0000 0.0000
0.0000 6.6010 0.0000
0.0000 0.0000 6.6010
Pm Cu Sn
4 4 4
Cartesian
0.0000 0.0000 0.0000
0.0000 3.3005 3.3005
3.3005 0.0000 3.3005
3.3005 3.3005 0.0000
1.6503 1.6503 4.9508
1.6503 4.9508 1.6503
4.9508 1.6503 1.6503
4.9508 4.9508 4.9508
0.0000 0.0000 3.3005
0.0000 3.3005 0.0000
3.3005 0.0000 0.0000
3.3005 3.3005 3.3005
```

Summary:
DFT total energy, Ha/atom: -0.179
DOS at the Fermi energy, states/eV/cell: 2.82
SG: F-43m (216)

=====

(2)
Entry from Alexandria: an optimized crystal structure of PmCu9Sn2 (GGA-PBE).

Geometry as POSCAR:
```
PmCu9Sn2
1.0
2.5592 1.4776 8.1416
-2.5592 1.4776 8.1416
0.0000 -2.9552 8.1416
Pm Cu Sn
1 9 2
Cartesian
0.0000 0.0000 0.0000
-1.2918 -0.7458 10.1915
0.0000 0.0000 8.1565
0.0000 -1.4917 14.2334
-1.2918 0.7458 14.2334
0.0000 0.0000 12.2124
1.2918 -0.7458 10.1915
0.0000 1.4917 10.1915
0.0000 0.0000 16.2684
1.2918 0.7458 14.2334
0.0000 0.0000 3.4193
0.0000 0.0000 21.0056
```

Summary:
DFT total energy, Ha/atom: -0.156
DOS at the Fermi energy, states/eV/cell: 6.53
SG: R-3m (166)

=====

(3)
Entry from Alexandria: an optimized crystal structure of PmCuSn2 (GGA-PBE).

Geometry as POSCAR:
```
PmCuSn2
1.0
4.3485 0.0000 0.0000
0.0000 18.8091 0.0000
0.0000 0.0000 4.6721
Pm Cu Sn
4 4 8
Cartesian
0.0000 1.9772 1.1680
0.0000 16.8318 3.5041
2.1742 7.4273 3.5041
2.1742 11.3818 1.1680
0.0000 6.1288 1.1680
0.0000 12.6803 3.5041
2.1742 3.2757 3.5041
2.1742 15.5334 1.1680
0.0000 4.7664 3.5041
0.0000 8.6233 1.1680
0.0000 10.1858 3.5041
0.0000 14.0427 1.1680
2.1742 0.7813 3.5041
2.1742 4.6382 1.1680
2.1742 14.1709 3.5041
2.1742 18.0278 1.1680
```

Summary:
DFT total energy, Ha/atom: -0.171
DOS at the Fermi energy, states/eV/cell: 4.79
SG: Cmcm (63)

=====

(4)
Entry from Alexandria: an optimized crystal structure of PmCu2Sn (GGA-PBE).

Geometry as POSCAR:
```
PmCu2Sn
1.0
3.5205 0.0000 0.0000
0.0000 3.5205 0.0000
0.0000 0.0000 6.5845
Pm Cu Sn
1 2 1
Cartesian
0.0000 0.0000 0.0000
1.7602 1.7602 1.8023
1.7602 1.7602 4.7821
0.0000 0.0000 3.2922
```

Summary:
DFT total energy, Ha/atom: -0.159
DOS at the Fermi energy, states/eV/cell: 1.82
SG: P4/mmm (123)

=====

(5)
Entry from Alexandria: an optimized crystal structure of PmCu3Sn3 (GGA-PBE).

Geometry as POSCAR:
```
PmCu3Sn3
1.0
7.0726 0.0000 0.0000
0.0000 7.0726 0.0000
0.0000 0.0000 7.0726
Pm Cu Sn
2 6 6
Cartesian
0.0000 0.0000 0.0000
3.5363 3.5363 3.5363
0.0000 1.7681 3.5363
0.0000 5.3044 3.5363
1.7681 3.5363 0.0000
3.5363 0.0000 1.7681
3.5363 0.0000 5.3044
5.3044 3.5363 0.0000
0.0000 3.5363 1.7681
0.0000 3.5363 5.3044
1.7681 0.0000 3.5363
3.5363 1.7681 0.0000
3.5363 5.3044 0.0000
5.3044 0.0000 3.5363
```

Summary:
DFT total energy, Ha/atom: -0.146
DOS at the Fermi energy, states/eV/cell: 8.16
SG: Pm-3n (223)

=====

(6)
Entry from Alexandria: an optimized crystal structure of Pm8CuSn2 (GGA-PBE).

Geometry as POSCAR:
```
Pm8CuSn2
1.0
9.8004 -2.5604 0.0000
9.8004 2.5604 0.0000
-1.7971 0.0000 6.6396
Pm Cu Sn
8 1 2
Cartesian
-0.2128 0.0000 1.8832
2.7528 0.0000 5.4167
5.9665 0.0000 3.3440
7.9504 0.0000 0.1805
9.8533 0.0000 6.4591
11.8372 0.0000 3.2956
15.0510 0.0000 1.2229
18.0165 0.0000 4.7564
8.9019 0.0000 3.3198
3.0779 0.0000 1.6761
14.7258 0.0000 4.9635
```

Summary:
DFT total energy, Ha/atom: -0.179
DOS at the Fermi energy, states/eV/cell: 9.49
SG: C2/m (12)

=====

(7)
Entry from Alexandria: an optimized crystal structure of Pm2CuSn3 (GGA-PBE).

Geometry as POSCAR:
```
Pm2CuSn3
1.0
4.3541 0.0000 0.0000
0.0000 4.8963 0.0000
0.0000 0.0000 16.2622
Pm Cu Sn
4 2 6
Cartesian
0.0000 0.0000 2.4395
0.0000 0.0000 13.8227
2.1770 2.4481 5.6916
2.1770 2.4481 10.5707
0.0000 0.0000 8.1311
2.1770 2.4481 0.0000
0.0000 0.0000 5.5557
0.0000 0.0000 10.7065
0.0000 2.4481 8.1311
2.1770 0.0000 0.0000
2.1770 2.4481 2.5754
2.1770 2.4481 13.6869
```

Summary:
DFT total energy, Ha/atom: -0.168
DOS at the Fermi energy, states/eV/cell: 5.15
SG: Immm (71)

=====

(8)
Entry from Alexandria: an optimized crystal structure of Pm3Cu4Sn4 (GGA-PBE).

Geometry as POSCAR:
```
Pm3Cu4Sn4
1.0
-2.0681 2.2435 13.4406
2.0681 -2.2435 13.4406
2.0681 2.2435 -13.4406
Pm Cu Sn
3 4 4
Cartesian
0.0000 0.0000 0.0000
2.0681 0.0000 9.5254
0.0000 2.2435 3.9152
2.0681 0.0000 5.1008
0.0000 0.0000 12.2226
0.0000 0.0000 14.6586
0.0000 2.2435 8.3398
2.0681 0.0000 2.5468
0.0000 0.0000 6.8104
0.0000 0.0000 20.0708
0.0000 2.2435 10.8938
```

Summary:
DFT total energy, Ha/atom: -0.172
DOS at the Fermi energy, states/eV/cell: 7.08
SG: Immm (71)

=====

(9)
Entry from Alexandria: an optimized crystal structure of Pm5Cu2Sn2 (GGA-PBE).

Geometry as POSCAR:
```
Pm5Cu2Sn2
1.0
7.7829 -4.1076 0.0000
7.7829 4.1076 0.0000
0.0000 0.0000 7.9441
Pm Cu Sn
10 4 4
Cartesian
0.0000 0.0000 0.0000
5.7774 2.6624 5.3122
5.7774 1.4452 1.3402
9.7883 2.6624 5.3122
9.7883 1.4452 1.3402
7.7829 0.0000 3.9721
5.7774 -1.4452 6.6040
5.7774 -2.6624 2.6319
9.7883 -1.4452 6.6040
9.7883 -2.6624 2.6319
7.7829 3.1913 3.0261
7.7829 0.9162 6.9982
7.7829 -0.9162 0.9460
7.7829 -3.1913 4.9180
3.2749 0.0000 0.0000
4.5080 0.0000 3.9721
11.0577 0.0000 3.9721
12.2909 0.0000 0.0000
```

Summary:
DFT total energy, Ha/atom: -0.176
DOS at the Fermi energy, states/eV/cell: 17.96
SG: Cmce (64)

=====

(10)
Entry from Alexandria: an optimized crystal structure of Pm3CuSn3 (GGA-PBE).

Geometry as POSCAR:
```
Pm3CuSn3
1.0
4.1889 -5.6211 0.0000
4.1889 5.6211 0.0000
-1.2706 0.0000 8.1263
Pm Cu Sn
6 2 6
Cartesian
4.1889 3.6126 0.0000
3.5536 2.7515 4.0632
2.9928 0.0000 1.3457
4.1145 0.0000 6.7807
3.5536 -2.7515 4.0632
4.1889 -3.6126 0.0000
2.2659 0.0000 4.2974
4.8414 0.0000 3.8289
0.0880 0.0000 2.6021
1.3363 1.6288 6.3206
1.3363 -1.6288 6.3206
5.7709 1.6288 1.8057
5.7709 -1.6288 1.8057
7.0193 0.0000 5.5242
```

Summary:
DFT total energy, Ha/atom: -0.179
DOS at the Fermi energy, states/eV/cell: 5.89
SG: C2/m (12)

=====

(11)
Entry from Alexandria: an optimized crystal structure of Pm2Cu5Sn4 (GGA-PBE).

Geometry as POSCAR:
```
Pm2Cu5Sn4
1.0
0.0000 4.9914 7.8056
2.9659 0.0000 7.8056
2.9659 4.9914 0.0000
Pm Cu Sn
2 5 4
Cartesian
2.9659 4.9914 2.3361
2.9659 4.9914 13.2751
1.4830 2.4957 0.0000
1.4830 2.4957 3.9028
1.4830 2.4957 7.8056
2.9659 4.9914 7.8056
4.4489 7.4871 11.7084
2.9659 3.4778 5.7331
2.9659 3.4778 9.8780
2.9659 6.5049 5.7331
2.9659 6.5049 9.8780
```

Summary:
DFT total energy, Ha/atom: -0.160
DOS at the Fermi energy, states/eV/cell: 4.31
SG: Fmmm (69)

=====

(12)
Entry from Alexandria: an optimized crystal structure of PmCuSn2 (GGA-PBE).

Geometry as POSCAR:
```
PmCuSn2
1.0
4.5742 0.0000 0.0000
0.0000 4.5742 0.0000
0.0000 0.0000 4.4618
Pm Cu Sn
1 1 2
Cartesian
0.0000 0.0000 0.0000
2.2871 2.2871 0.0000
0.0000 2.2871 2.2309
2.2871 0.0000 2.2309
```

Summary:
DFT total energy, Ha/atom: -0.169
DOS at the Fermi energy, states/eV/cell: 1.32
SG: P4/mmm (123)

=====

(13)
Entry from Alexandria: an optimized crystal structure of Pm5Cu4Sn (GGA-PBE).

Geometry as POSCAR:
```
Pm5Cu4Sn
1.0
3.5424 0.0000 0.0000
0.0000 3.5424 0.0000
0.0000 0.0000 18.9506
Pm Cu Sn
5 4 1
Cartesian
0.0000 0.0000 0.0000
0.0000 0.0000 3.6077
0.0000 0.0000 7.2481
0.0000 0.0000 11.7025
0.0000 0.0000 15.3429
1.7712 1.7712 1.8231
1.7712 1.7712 5.3589
1.7712 1.7712 13.5917
1.7712 1.7712 17.1276
1.7712 1.7712 9.4753
```

Summary:
DFT total energy, Ha/atom: -0.172
DOS at the Fermi energy, states/eV/cell: 8.95
SG: P4/mmm (123)

=====

(14)
Entry from Alexandria: an optimized crystal structure of Pm3Cu3Sn4 (GGA-PBE).

Geometry as POSCAR:
```
Pm3Cu3Sn4
1.0
-4.8792 4.8792 4.8792
4.8792 -4.8792 4.8792
4.8792 4.8792 -4.8792
Pm Cu Sn
6 6 8
Cartesian
4.8792 -2.4396 3.6594
3.6594 4.8792 -2.4396
4.8792 2.4396 1.2198
2.4396 1.2198 4.8792
1.2198 4.8792 2.4396
-2.4396 3.6594 4.8792
7.3188 1.2198 0.0000
3.6594 0.0000 2.4396
2.4396 3.6594 0.0000
0.0000 2.4396 3.6594
1.2198 0.0000 7.3188
0.0000 7.3188 1.2198
3.1993 1.6799 -1.6799
5.6389 -0.7597 0.7597
1.6799 -1.6799 3.1993
1.6799 1.6799 1.6799
-1.6799 3.1993 1.6799
0.7597 5.6389 -0.7597
-0.7597 0.7597 5.6389
4.1195 4.1195 4.1195
```

Summary:
DFT total energy, Ha/atom: -0.176
DOS at the Fermi energy, states/eV/cell: 12.67
SG: I-43d (220)

=====

(15)
Entry from Alexandria: an optimized crystal structure of Pm2Cu3Sn (GGA-PBE).

Geometry as POSCAR:
```
Pm2Cu3Sn
1.0
0.0000 4.4807 7.6458
3.8309 0.0000 7.6458
3.8309 4.4807 0.0000
Pm Cu Sn
4 6 2
Cartesian
5.8848 4.4807 7.6458
1.9155 2.2404 3.8229
5.7464 6.7211 11.4687
1.7771 4.4807 7.6458
3.8309 2.1772 6.4018
3.8309 4.4807 2.4911
3.8309 2.1772 8.8898
3.8309 6.7843 6.4018
3.8309 4.4807 12.8005
3.8309 6.7843 8.8898
3.8309 4.4807 5.1460
3.8309 4.4807 10.1456
```

Summary:
DFT total energy, Ha/atom: -0.170
DOS at the Fermi energy, states/eV/cell: 7.24
SG: Fmmm (69)

=====

(16)
Entry from Alexandria: an optimized crystal structure of Pm3CuSn3 (GGA-PBE).

Geometry as POSCAR:
```
Pm3CuSn3
1.0
5.7436 -2.2886 0.0000
5.7436 2.2886 0.0000
-5.1381 0.0000 14.2550
Pm Cu Sn
6 2 6
Cartesian
-1.6141 0.0000 5.4829
-3.6181 0.0000 13.1192
1.5959 0.0000 3.2794
4.7532 0.0000 10.9756
9.9671 0.0000 1.1358
7.9631 0.0000 8.7721
-0.0728 0.0000 8.6557
6.4218 0.0000 5.5993
1.7227 0.0000 6.4785
-0.4748 0.0000 13.1711
1.4773 0.0000 10.8734
4.8718 0.0000 3.3816
6.8239 0.0000 1.0838
4.6263 0.0000 7.7764
```

Summary:
DFT total energy, Ha/atom: -0.184
DOS at the Fermi energy, states/eV/cell: 7.97
SG: C2/m (12)

=====

(17)
Entry from Alexandria: an optimized crystal structure of Pm5Cu2Sn5 (GGA-PBE).

Geometry as POSCAR:
```
Pm5Cu2Sn5
1.0
6.1663 -2.2775 0.0000
6.1663 2.2775 0.0000
-4.2662 0.0000 11.3576
Pm Cu Sn
5 2 5
Cartesian
0.0000 0.0000 0.0000
2.0635 0.0000 5.7304
3.8079 0.0000 2.5821
4.2586 0.0000 8.7755
6.0030 0.0000 5.6273
0.2579 0.0000 8.0682
7.8086 0.0000 3.2895
-2.1331 0.0000 5.6788
0.1519 0.0000 3.1732
-0.4219 0.0000 10.6589
8.4884 0.0000 0.6988
7.9146 0.0000 8.1844
```

Summary:
DFT total energy, Ha/atom: -0.177
DOS at the Fermi energy, states/eV/cell: 5.64
SG: C2/m (12)

=====

(18)
Entry from Alexandria: an optimized crystal structure of PmCu4Sn4 (GGA-PBE).

Geometry as POSCAR:
```
PmCu4Sn4
1.0
6.7036 0.0000 0.0000
0.0000 6.7036 0.0000
0.0000 0.0000 8.4924
Pm Cu Sn
2 8 8
Cartesian
1.6759 5.0277 2.1231
5.0277 1.6759 6.3693
0.4423 1.6759 0.9008
1.6759 0.4423 5.1470
1.6759 2.9095 5.1470
2.9095 1.6759 0.9008
3.7941 5.0277 7.5916
5.0277 3.7941 3.3454
5.0277 6.2614 3.3454
6.2614 5.0277 7.5916
0.0042 5.0277 5.0411
1.6759 3.3560 7.6976
1.6759 6.6994 7.6976
3.3476 5.0277 5.0411
3.3560 1.6759 3.4514
5.0277 0.0042 0.7949
5.0277 3.3476 0.7949
6.6994 1.6759 3.4514
```

Summary:
DFT total energy, Ha/atom: -0.155
DOS at the Fermi energy, states/eV/cell: 5.54
SG: P4_2/nmc (137)

=====

(19)
Entry from Alexandria: an optimized crystal structure of Pm5CuSn6 (GGA-PBE).

Geometry as POSCAR:
```
Pm5CuSn6
1.0
7.7575 -4.6255 0.0000
7.7575 4.6255 0.0000
-1.4424 0.0000 4.5177
Pm Cu Sn
5 1 6
Cartesian
0.0000 0.0000 0.0000
1.6734 0.0000 3.0249
5.0549 0.0000 1.6242
9.0178 0.0000 2.8935
12.3993 0.0000 1.4927
7.7575 0.0000 0.0000
3.9486 2.3195 3.7592
7.0363 2.3685 2.2588
10.1241 2.3195 0.7585
3.9486 -2.3195 3.7592
7.0363 -2.3685 2.2588
10.1241 -2.3195 0.7585
```

Summary:
DFT total energy, Ha/atom: -0.179
DOS at the Fermi energy, states/eV/cell: 6.42
SG: C2/m (12)

=====

(20)
Entry from Alexandria: an optimized crystal structure of PmCu6Sn12 (GGA-PBE).

Geometry as POSCAR:
```
PmCu6Sn12
1.0
-4.7745 4.7745 4.7745
4.7745 -4.7745 4.7745
4.7745 4.7745 -4.7745
Pm Cu Sn
1 6 12
Cartesian
0.0000 0.0000 0.0000
4.7745 1.2334 0.0000
4.7745 0.0000 3.5411
3.5411 4.7745 0.0000
1.2334 0.0000 4.7745
0.0000 4.7745 1.2334
0.0000 3.5411 4.7745
4.7745 3.0480 -1.9360
2.8386 0.0000 1.7266
6.7105 0.0000 1.7266
1.7266 2.8386 0.0000
3.0480 -1.9360 4.7745
0.0000 1.7266 2.8386
4.7745 3.0480 1.9360
1.7266 6.7105 0.0000
3.0480 1.9360 4.7745
-1.9360 4.7745 3.0480
1.9360 4.7745 3.0480
0.0000 1.7266 6.7105
```

Summary:
DFT total energy, Ha/atom: -0.149
DOS at the Fermi energy, states/eV/cell: 8.88
SG: Im-3 (204)

=====

(21)
Entry from Alexandria: an optimized crystal structure of Pm4CuSn2 (GGA-PBE).

Geometry as POSCAR:
```
Pm4CuSn2
1.0
11.6078 0.0000 0.0000
0.0000 4.6556 0.0000
-4.7010 0.0000 7.5728
Pm Cu Sn
8 2 4
Cartesian
-0.8034 0.0000 2.7426
1.7295 2.3278 0.5081
-0.6266 0.0000 7.0647
1.9064 2.3278 4.8302
5.0005 2.3278 2.7426
7.5335 0.0000 0.5081
5.1773 2.3278 7.0647
7.7103 0.0000 4.8302
0.0000 0.0000 0.0000
5.8039 2.3278 0.0000
-1.4184 2.3278 4.9872
2.5214 0.0000 2.5857
4.3855 0.0000 4.9872
8.3253 2.3278 2.5857
```

Summary:
DFT total energy, Ha/atom: -0.181
DOS at the Fermi energy, states/eV/cell: 15.67
SG: C2/m (12)